This record from Alexandria describes a relaxed structure of Tb3Pr8Dy2. The functional is PBE.

Energy of formation = 0.199 eV/atom
DOS(E_F) = 18.4 states/eV/cell

Unit cell a=10.9918 b=10.9918 c=5.8005 alpha=90.02 beta=90.02 gamma=41.33
Element x y z (fractional)
Tb (0.0000, 0.0000, 0.0000)
Tb (0.2849, 0.7151, 0.5000)
Tb (0.7151, 0.2849, 0.5000)
Pr (0.1318, 0.1318, 0.4994)
Pr (0.1888, 0.5995, 0.0001)
Pr (0.3260, 0.3260, 0.4995)
Pr (0.4005, 0.8112, 0.9999)
Pr (0.5995, 0.1888, 0.0001)
Pr (0.6740, 0.6740, 0.5005)
Pr (0.8112, 0.4005, 0.9999)
Pr (0.8682, 0.8682, 0.5006)
Dy (0.2401, 0.2401, 0.9992)
Dy (0.7599, 0.7599, 0.0008)

---

This record from Alexandria describes a relaxed structure of Hf2PaTiC4. The functional is PBE.

Energy of formation = -0.667 eV/atom
DOS(E_F) = 2.0 states/eV/cell

Unit cell a=5.7675 b=3.3364 c=5.7900 alpha=90.00 beta=109.02 gamma=90.00
Element x y z (fractional)
Hf (0.0000, 0.0000, 0.0000)
Hf (0.5000, 0.5000, 0.0000)
Pa (0.0000, 0.5000, 0.5000)
Ti (0.5000, 0.0000, 0.5000)
C (0.2587, 0.5000, 0.2527)
C (0.2633, 0.0000, 0.7571)
C (0.7367, 0.0000, 0.2429)
C (0.7413, 0.5000, 0.7473)

---

This record from Alexandria describes a relaxed structure of Sc7Tl2Pd2. The functional is PBE.

Energy of formation = -0.240 eV/atom
DOS(E_F) = 12.3 states/eV/cell

Unit cell a=6.5047 b=6.5047 c=6.6831 alpha=90.00 beta=90.00 gamma=106.74
Element x y z (fractional)
Sc (0.0000, 0.0000, 0.0000)
Sc (0.0000, 0.5000, 0.2533)
Sc (0.0000, 0.5000, 0.7467)
Sc (0.5000, 0.0000, 0.2533)
Sc (0.5000, 0.0000, 0.7467)
Sc (0.5000, 0.5000, 0.2417)
Sc (0.5000, 0.5000, 0.7583)
Tl (0.1876, 0.1876, 0.5000)
Tl (0.8124, 0.8124, 0.5000)
Pd (0.2871, 0.7129, 0.0000)
Pd (0.7129, 0.2871, 0.0000)

---

This record from Alexandria describes a relaxed structure of Cs6CaI8. The functional is PBE.

Formation energy without anion corrections = -1552 meV/atom
DOS(E_F) = 0.0 states/eV/cell

Unit cell a=9.9334 b=9.9334 c=9.9334 alpha=69.09 beta=69.09 gamma=69.09
Element x y z (fractional)
Cs (0.0136, 0.4397, 0.8047)
Cs (0.1953, 0.9864, 0.5603)
Cs (0.4397, 0.8047, 0.0136)
Cs (0.5603, 0.1953, 0.9864)
Cs (0.8047, 0.0136, 0.4397)
Cs (0.9864, 0.5603, 0.1953)
Ca (0.5000, 0.5000, 0.5000)
I (0.1548, 0.1548, 0.1548)
I (0.1911, 0.6573, 0.4085)
I (0.3427, 0.5915, 0.8089)
I (0.4085, 0.1911, 0.6573)
I (0.5915, 0.8089, 0.3427)
I (0.6573, 0.4085, 0.1911)
I (0.8089, 0.3427, 0.5915)
I (0.8452, 0.8452, 0.8452)

---

Which of these has the lowest DOS(E_F)? Cs6CaI8